{
  "formula": "ScNiP",
  "functional": "GGA-PBEsol",
  "state": "relaxed",
  "lattice_angstrom": [[0.000, 2.807, 2.807], [2.807, 0.000, 2.807], [2.807, 2.807, 0.000]],
  "species": ["Sc", "Ni", "P"],
  "fractional_positions": [[0.000, 0.000, 0.000], [0.750, 0.750, 0.750], [0.500, 0.500, 0.500]],
  "spacegroup": "F-43m",
  "magmom_total_mub_per_atom": 0.000,
  "formation_enthalpy_0k_ev_per_atom": -1.0984,
  "vol_a3_per_atom": 14.75
}